Record 1
Computed, not measured: an optimized crystal structure of Co2NiHg at the PBE-GGA level of DFT.

Output
space-group type	No. 123
E_form	0.363	eV per atom
total magnetic moment	3.6	Bohr magnetons per cell

Lattice parameters (Å, degrees): 3.687 3.687 3.949 90.00 90.00 90.00
Sites, in units of the cell vectors:
Co 0.000 0.500 0.000
Co 0.500 0.000 0.000
Ni 0.000 0.000 0.500
Hg 0.500 0.500 0.500

---

Record 2
Computed, not measured: an optimized crystal structure of LaP3Au2 at the PBE-GGA level of DFT.

Output
space-group type	No. 62
E_form	-0.388	eV per atom
total magnetic moment	0.0	Bohr magnetons per cell

Lattice parameters (Å, degrees): 9.852 4.058 13.338 90.00 90.00 90.00
Sites, in units of the cell vectors:
La 0.008 0.250 0.151
La 0.492 0.750 0.651
La 0.508 0.250 0.349
La 0.992 0.750 0.849
P 0.009 0.750 0.622
P 0.161 0.750 0.048
P 0.201 0.250 0.339
P 0.299 0.750 0.839
P 0.339 0.250 0.548
P 0.491 0.250 0.122
P 0.509 0.750 0.878
P 0.661 0.750 0.452
P 0.701 0.250 0.161
P 0.799 0.750 0.661
P 0.839 0.250 0.952
P 0.991 0.250 0.378
Au 0.136 0.250 0.654
Au 0.227 0.250 0.944
Au 0.273 0.750 0.444
Au 0.364 0.750 0.154
Au 0.636 0.250 0.846
Au 0.727 0.250 0.556
Au 0.773 0.750 0.056
Au 0.864 0.750 0.346